DyUSN2 (PBE, optimized geometry); DOS at the Fermi energy = 3.00 states/eV/f.u.; SG = I4mm, No. 107; calculated total energy = -44.50 eV/cell; M_tot = 1.00 Bohr magnetons per cell; energy relative to the elements, uncorrected = -1.566 eV per atom
1.0
-1.889 1.889 5.971
1.889 -1.889 5.971
1.889 1.889 -5.971
Dy U S N
1 1 1 2
Direct
0.000 0.000 0.000 Dy
0.308 0.308 0.000 U
0.653 0.653 0.000 S
0.393 0.893 0.500 N
0.893 0.393 0.500 N